Entry 1:
DFT (PBE-GGA) results for an optimized crystal structure of LuGeAu2.

Geometry as extended XYZ:
```
4
Lattice="3.672 0.000 0.000 0.000 3.672 0.000 0.000 0.000 6.008" Properties=species:S:1:pos:R:3 pbc="T T T"
Ge 1.836 1.836 0.000
Lu 1.836 1.836 3.004
Au 0.000 0.000 4.487
Au 0.000 0.000 1.521
```

Output
The formation energy from the elements is -50.6 kJ/mol of atoms. As for the symmetry: P4/mmm, No. 123.



Entry 2:
DFT (PBE-GGA) results for an optimized crystal structure of Tl3CrTe.

Geometry as extended XYZ:
```
5
Lattice="5.442 0.000 0.000 0.000 5.442 0.000 0.000 0.000 5.442" Properties=species:S:1:pos:R:3 pbc="T T T"
Cr 0.000 0.000 0.000
Tl 0.000 2.721 0.000
Tl 0.000 0.000 2.721
Tl 2.721 0.000 0.000
Te 2.721 2.721 2.721
```

Output
As for the formation energy from raw total energies: 318 meV/atom. As for the energy above the most stable polymorph in this dataset: 0.000 eV per atom. As for the symmetry: Pm-3m, No. 221.



Entry 3:
DFT (PBE-GGA) results for an optimized crystal structure of Ac4LaAu4.

Geometry as extended XYZ:
```
18
Lattice="6.479 0.000 0.000 0.000 9.860 0.000 0.000 0.000 9.860" Properties=species:S:1:pos:R:3 pbc="T T T"
Ac 2.832 2.946 8.960
Ac 6.071 5.830 7.876
Ac 2.832 6.914 0.900
Ac 0.407 1.984 5.830
Ac 3.647 8.960 6.914
Ac 0.407 7.876 4.030
Ac 6.071 4.030 1.984
Ac 3.647 0.900 2.946
La 0.000 0.000 0.000
La 3.239 4.930 4.930
Au 3.683 7.751 3.908
Au 3.683 2.109 5.952
Au 0.443 8.838 7.039
Au 6.035 2.821 8.838
Au 6.035 7.039 1.022
Au 2.796 3.908 2.109
Au 2.796 5.952 7.751
Au 0.443 1.022 2.821
```

Output
The formation energy from the elements is -60.1 kJ/mol of atoms. As for the symmetry: P4_2/n, No. 86.



Entry 4:
DFT (PBE-GGA) results for an optimized crystal structure of CuOs2O.

Geometry as extended XYZ:
```
8
Lattice="-3.225 -2.465 0.034 0.505 -0.716 -3.964 2.894 -7.135 -0.422" Properties=species:S:1:pos:R:3 pbc="T T T"
Os -0.920 -3.178 -0.583
Os 0.327 -2.776 -2.575
Os 1.199 -6.613 -2.170
Os -0.258 -8.066 -3.375
O -1.360 -1.591 -1.965
O 1.020 -4.721 -3.175
Cu 0.000 0.000 0.000
Cu -0.846 -5.596 -1.176
```

Output
As for the formation energy from raw total energies: 875 meV/atom. As for the symmetry: I-42d, No. 122.



Entry 5:
DFT (PBE-GGA) results for an optimized crystal structure of Dy3Er6Tm2Sc.

Geometry as extended XYZ:
```
12
Lattice="-3.719 -3.657 -3.063 5.694 0.780 -1.884 2.678 -7.829 8.084" Properties=species:S:1:pos:R:3 pbc="T T T"
Dy 5.466 -3.873 1.962
Dy -0.812 -6.833 1.176
Dy 2.327 -5.353 1.569
Er 1.946 -8.802 2.173
Er 2.142 -4.088 -1.718
Er 2.707 -1.905 0.964
Er 5.065 -7.331 2.563
Er 2.512 -6.619 4.855
Er -0.412 -3.375 0.574
Tm 2.556 -0.699 -2.277
Tm -0.581 -2.178 -2.670
Sc 0.000 0.000 0.000
```

Output
The formation energy from the elements is 2.9 kJ/mol of atoms. As for the symmetry: C2/m, No. 12.



Entry 6:
DFT (PBE-GGA) results for an optimized crystal structure of CsAgTeI2.

Geometry as extended XYZ:
```
5
Lattice="6.048 0.000 0.000 0.000 6.048 0.000 0.000 0.000 5.535" Properties=species:S:1:pos:R:3 pbc="T T T"
Cs 3.024 3.024 2.768
I 0.000 3.024 0.000
I 3.024 0.000 0.000
Te 0.000 0.000 2.768
Ag 0.000 0.000 0.000
```

Output
As for the formation energy from raw total energies: -451 meV/atom. As for the symmetry: P4/mmm, No. 123.